# LiYZn2As

A relaxed structure of LiYZn2As (PBEsol, the Alexandria database).

density of states at the Fermi level	2.31	states/eV/f.u.
total magnetic moment	0.0	μB per cell
energy relative to the elements	115	meV per atom
total energy	-3.30	eV per atom

a = 4.8235 Å, b = 4.8235 Å, c = 5.2967 Å
α = 90.00°, β = 90.00°, γ = 90.00°
With the nearest neighbours (Å) after each atom.
Fractional positions:
Li 0.0000 0.0000 0.0000  4 Y 3.41, 8 Zn 3.58
Y 0.5000 0.5000 0.0000  2 As 2.65
Zn 0.0000 0.5000 0.5000  2 As 2.41
Zn 0.5000 0.0000 0.5000  2 As 2.41
As 0.5000 0.5000 0.5000  4 Zn 2.41, 2 Y 2.65